## AcAlSeS2 (GGA-PBE)

Data for a relaxed AcAlSeS2 crystal.

Properties
E_form (uncorrected) (meV per atom): -1459.6
Total moment (μB per formula unit): 0.00
V (Å³/atom): 25.61

Structure (CIF):
```
data_AcAlSeS2
_cell_length_a 6.591
_cell_length_b 11.986
_cell_length_c 6.484
_cell_angle_alpha 90.00
_cell_angle_beta 90.00
_cell_angle_gamma 90.00
_space_group_name_H-M_alt 'C m c m'
_space_group_IT_number 63
_space_group_name_Hall '-C 2c 2'
loop_
_atom_site_label
_atom_site_fract_x
_atom_site_fract_y
_atom_site_fract_z
Ac1 0.000 0.164 0.250
Al1 0.000 0.466 0.750
Se1 0.000 0.261 0.750
S1 0.246 0.500 0.000
```

=====

## Ac2TiAlS6 (GGA-PBE)

Data for a relaxed Ac2TiAlS6 crystal.

Properties
E_form (uncorrected) (meV per atom): -1681.4
Total moment (μB per formula unit): 1.00
Density of states at the Fermi level (states/eV/f.u.): 4.545
V (Å³/atom): 22.11

Structure (CIF):
```
data_Ac2TiAlS6
_cell_length_a 6.591
_cell_length_b 7.065
_cell_length_c 11.555
_cell_angle_alpha 90.00
_cell_angle_beta 124.74
_cell_angle_gamma 90.00
_space_group_name_H-M_alt 'P 1 21/c 1'
_space_group_IT_number 14
_space_group_name_Hall '-P 2ybc'
loop_
_atom_site_label
_atom_site_fract_x
_atom_site_fract_y
_atom_site_fract_z
Ac1 0.225 0.084 0.252
Ti1 0.000 0.000 0.500
Al1 0.500 0.000 0.000
S1 0.156 0.192 0.959
S2 0.266 0.700 0.958
S3 0.335 0.006 0.752
```

=====

## AcAlTl2S4 (GGA-PBE)

Data for a relaxed AcAlTl2S4 crystal.

Properties
E_form (uncorrected) (meV per atom): -980.8
Total moment (μB per formula unit): 0.00
Density of states at the Fermi level (states/eV/f.u.): 0.545
V (Å³/atom): 26.09

Structure (CIF):
```
data_AcAlTl2S4
_cell_length_a 7.763
_cell_length_b 9.075
_cell_length_c 11.851
_cell_angle_alpha 90.00
_cell_angle_beta 90.00
_cell_angle_gamma 90.00
_space_group_name_H-M_alt 'I m m a'
_space_group_IT_number 74
_space_group_name_Hall '-I 2b 2'
loop_
_atom_site_label
_atom_site_fract_x
_atom_site_fract_y
_atom_site_fract_z
Ac1 0.000 0.000 0.000
Al1 0.250 0.250 0.250
Tl1 0.000 0.000 0.500
Tl2 0.250 0.250 0.750
S1 0.000 0.068 0.247
S2 0.238 0.250 0.033
```

=====

## AcAlTlS3 (GGA-PBE)

Data for a relaxed AcAlTlS3 crystal.

Properties
E_form (uncorrected) (meV per atom): -1218.1
Total moment (μB per formula unit): 0.00
V (Å³/atom): 26.77

Structure (CIF):
```
data_AcAlTlS3
_cell_length_a 15.970
_cell_length_b 4.739
_cell_length_c 8.796
_cell_angle_alpha 90.00
_cell_angle_beta 105.15
_cell_angle_gamma 90.00
_space_group_name_H-M_alt 'C 1 2/m 1'
_space_group_IT_number 12
_space_group_name_Hall '-C 2y'
loop_
_atom_site_label
_atom_site_fract_x
_atom_site_fract_y
_atom_site_fract_z
Ac1 0.148 0.000 0.078
Al1 0.001 0.500 0.843
Tl1 0.144 0.000 0.565
S1 0.005 0.000 0.777
S2 0.149 0.500 0.300
S3 0.159 0.500 0.857
```

=====

## Ac3AlTl3S8 (GGA-PBE)

Data for a relaxed Ac3AlTl3S8 crystal.

Properties
E_form (uncorrected) (meV per atom): -1247.8
Total moment (μB per formula unit): 0.00
Density of states at the Fermi level (states/eV/f.u.): 6.705
V (Å³/atom): 30.65

Structure (CIF):
```
data_Ac3AlTl3S8
_cell_length_a 8.5496
_cell_length_b 8.5496
_cell_length_c 21.7891
_cell_angle_alpha 90.00
_cell_angle_beta 90.00
_cell_angle_gamma 120.00
_space_group_name_H-M_alt 'R -3 m'
_space_group_IT_number 166
_space_group_name_Hall '-R 3 2"'
loop_
_atom_site_label
_atom_site_fract_x
_atom_site_fract_y
_atom_site_fract_z
Ac1 0.0000 0.5000 0.0000
Al1 0.0000 0.0000 0.0000
Tl1 0.0000 0.5000 0.5000
S1 0.0000 0.0000 0.2604
S2 0.0496 0.5248 0.7309
```

=====

## Ac2TmAlS6 (GGA-PBE)

Data for a relaxed Ac2TmAlS6 crystal.

Properties
E_form (uncorrected) (meV per atom): -1838.4
Total moment (μB per formula unit): 0.00
Density of states at the Fermi level (states/eV/f.u.): 0.000
V (Å³/atom): 23.77

Structure (CIF):
```
data_Ac2TmAlS6
_cell_length_a 11.930
_cell_length_b 6.848
_cell_length_c 7.038
_cell_angle_alpha 90.00
_cell_angle_beta 124.22
_cell_angle_gamma 90.00
_space_group_name_H-M_alt 'C 1 2/m 1'
_space_group_IT_number 12
_space_group_name_Hall '-C 2y'
loop_
_atom_site_label
_atom_site_fract_x
_atom_site_fract_y
_atom_site_fract_z
Ac1 0.245 0.000 0.225
Tm1 0.000 0.000 0.500
Al1 0.000 0.500 0.000
S1 0.056 0.259 0.820
S2 0.238 0.500 0.336
```

=====

## AcU2AlS8 (GGA-PBE)

Data for a relaxed AcU2AlS8 crystal.

Properties
E_form (uncorrected) (meV per atom): -1263.0
Total moment (μB per formula unit): 2.00
Density of states at the Fermi level (states/eV/f.u.): 9.930
V (Å³/atom): 25.97

Structure (CIF):
```
data_AcU2AlS8
_cell_length_a 6.105
_cell_length_b 8.219
_cell_length_c 6.225
_cell_angle_alpha 90.00
_cell_angle_beta 93.89
_cell_angle_gamma 90.00
_space_group_name_H-M_alt 'P 1 2/m 1'
_space_group_IT_number 10
_space_group_name_Hall '-P 2y'
loop_
_atom_site_label
_atom_site_fract_x
_atom_site_fract_y
_atom_site_fract_z
Ac1 0.000 0.000 0.000
U1 0.500 0.262 0.500
Al1 0.000 0.500 0.000
S1 0.227 0.294 0.165
S2 0.278 0.500 0.662
S3 0.287 0.000 0.635
```

=====

## Ac2AlZnS6 (GGA-PBE)

Data for a relaxed Ac2AlZnS6 crystal.

Properties
E_form (uncorrected) (meV per atom): -1391.5
Total moment (μB per formula unit): 0.00
Density of states at the Fermi level (states/eV/f.u.): 8.283
V (Å³/atom): 22.26

Structure (CIF):
```
data_Ac2AlZnS6
_cell_length_a 6.298
_cell_length_b 7.376
_cell_length_c 11.459
_cell_angle_alpha 90.00
_cell_angle_beta 123.23
_cell_angle_gamma 90.00
_space_group_name_H-M_alt 'P 1 21/c 1'
_space_group_IT_number 14
_space_group_name_Hall '-P 2ybc'
loop_
_atom_site_label
_atom_site_fract_x
_atom_site_fract_y
_atom_site_fract_z
Ac1 0.205 0.101 0.249
Al1 0.000 0.000 0.500
Zn1 0.500 0.000 0.000
S1 0.137 0.193 0.960
S2 0.273 0.675 0.962
S3 0.326 0.006 0.748
```

=====

## Ac2ZrAlS6 (GGA-PBE)

Data for a relaxed Ac2ZrAlS6 crystal.

Properties
E_form (uncorrected) (meV per atom): -1664.6
Total moment (μB per formula unit): 0.02
Density of states at the Fermi level (states/eV/f.u.): 4.381
V (Å³/atom): 23.16

Structure (CIF):
```
data_Ac2ZrAlS6
_cell_length_a 11.988
_cell_length_b 6.791
_cell_length_c 7.017
_cell_angle_alpha 90.00
_cell_angle_beta 125.83
_cell_angle_gamma 90.00
_space_group_name_H-M_alt 'C 1 2/m 1'
_space_group_IT_number 12
_space_group_name_Hall '-C 2y'
loop_
_atom_site_label
_atom_site_fract_x
_atom_site_fract_y
_atom_site_fract_z
Ac1 0.249 0.000 0.231
Zr1 0.000 0.000 0.500
Al1 0.000 0.500 0.000
S1 0.055 0.257 0.814
S2 0.243 0.500 0.341
```

=====

## Ac2AlSb4 (GGA-PBE)

Data for a relaxed Ac2AlSb4 crystal.

Properties
E_form (uncorrected) (meV per atom): -728.5
Total moment (μB per formula unit): 0.00
Density of states at the Fermi level (states/eV/f.u.): 0.915
V (Å³/atom): 31.94

Structure (CIF):
```
data_Ac2AlSb4
_cell_length_a 4.524
_cell_length_b 4.524
_cell_length_c 10.922
_cell_angle_alpha 90.00
_cell_angle_beta 90.00
_cell_angle_gamma 90.00
_space_group_name_H-M_alt 'P -4 m 2'
_space_group_IT_number 115
_space_group_name_Hall 'P -4 -2'
loop_
_atom_site_label
_atom_site_fract_x
_atom_site_fract_y
_atom_site_fract_z
Ac1 0.000 0.500 0.241
Al1 0.000 0.000 0.500
Sb1 0.000 0.000 0.000
Sb2 0.000 0.500 0.643
Sb3 0.500 0.500 0.000
```

=====

## Ac3AlSb (GGA-PBE)

Data for a relaxed Ac3AlSb crystal.

Properties
E_form (uncorrected) (meV per atom): -24.6
Total moment (μB per formula unit): 0.00
Density of states at the Fermi level (states/eV/f.u.): 4.149
V (Å³/atom): 42.41

Structure (CIF):
```
data_Ac3AlSb
_cell_length_a 5.963
_cell_length_b 5.963
_cell_length_c 5.963
_cell_angle_alpha 90.00
_cell_angle_beta 90.00
_cell_angle_gamma 90.00
_space_group_name_H-M_alt 'P m -3 m'
_space_group_IT_number 221
_space_group_name_Hall '-P 4 2 3'
loop_
_atom_site_label
_atom_site_fract_x
_atom_site_fract_y
_atom_site_fract_z
Ac1 0.000 0.000 0.500
Al1 0.000 0.000 0.000
Sb1 0.500 0.500 0.500
```

=====

## Ac2ScAl9 (GGA-PBE)

Data for a relaxed Ac2ScAl9 crystal.

Properties
Formation energy (eV per atom): -0.197
Total moment (μB per formula unit): 0.00
Density of states at the Fermi level (states/eV/f.u.): 5.863
V (Å³/atom): 21.50

Structure (CIF):
```
data_Ac2ScAl9
_cell_length_a 5.7380
_cell_length_b 5.7380
_cell_length_c 27.1466
_cell_angle_alpha 90.00
_cell_angle_beta 90.00
_cell_angle_gamma 120.00
_space_group_name_H-M_alt 'R -3 m'
_space_group_IT_number 166
_space_group_name_Hall '-R 3 2"'
loop_
_atom_site_label
_atom_site_fract_x
_atom_site_fract_y
_atom_site_fract_z
Ac1 0.0000 0.0000 0.1407
Sc1 0.0000 0.0000 0.0000
Al1 0.0000 0.0000 0.3345
Al2 0.0000 0.0000 0.5000
Al3 0.0053 0.5026 0.9214
```